Material: ZrP3Br
Method: DFT, GGA-PBE
State: relaxed

Cell and atoms, written as POSCAR:
```
ZrP3Br
1.0
5.0585 0.0000 0.0000
0.0000 5.0585 0.0000
0.0000 0.0000 5.0585
Zr P Br
1 3 1
Direct
0.0000 0.0000 0.0000
0.0000 0.0000 0.5000
0.0000 0.5000 0.0000
0.5000 0.0000 0.0000
0.5000 0.5000 0.5000
```

Calculated values
As for the symmetry: Pm-3m (221). The energy above the most stable polymorph in this dataset is 0.0 kJ/mol of atoms. As for the uncorrected formation energy: 0.4556 eV/atom.